A plane-wave DFT calculation with SCAN was carried out for NiAg2Rh at its PBEsol-relaxed geometry.

Summary:
formation energy from the elements: 0.301 eV/atom
E: -27.87 eV per atom
Fermi-level density of states: 0.7251 states/eV per atom

abc: 2.773 4.586 9.080
angles: 90.00 90.00 90.00
Space group Imm2 (No. 44)
Unique sites:
Ni 0.000 0.000 0.000
Ag 0.000 0.000 0.486
Ag 0.000 0.500 0.256
Rh 0.000 0.500 0.719

***

A plane-wave DFT calculation with SCAN was carried out for SiSb2TeAs at its PBEsol-relaxed geometry.

Summary:
E_form (uncorrected): 1.022 eV/atom
E: -27.37 eV per atom
Fermi-level density of states: 0.9484 states/eV per atom

abc: 5.305 5.305 5.221
angles: 90.00 90.00 90.00
Space group P4/mmm (No. 123)
Unique sites:
Si 0.000 0.000 0.000
Sb 0.000 0.500 0.500
Te 0.500 0.500 0.000
As 0.500 0.500 0.500

***

A plane-wave DFT calculation with SCAN was carried out for CrTc2Ag at its PBEsol-relaxed geometry.

Summary:
formation energy from the elements: 0.413 eV/atom
E: -29.56 eV per atom
Fermi-level density of states: 0.9155 states/eV per atom

abc: 3.835 3.835 7.529
angles: 90.00 90.00 90.00
Space group I-4m2 (No. 119)
Unique sites:
Cr 0.000 0.000 0.000
Tc 0.000 0.000 0.500
Tc 0.000 0.500 0.250
Ag 0.000 0.500 0.750

***

A plane-wave DFT calculation with SCAN was carried out for BaCoO3 at its PBEsol-relaxed geometry.

Summary:
E_form (uncorrected): -2.079 eV/atom
E: -17.19 eV per atom
Fermi-level density of states: 0.4653 states/eV per atom

abc: 5.6246 5.6246 4.7033
angles: 90.00 90.00 120.00
Space group P6_3/mmc (No. 194)
Unique sites:
Ba 0.3333 0.6667 0.2500
Co 0.0000 0.0000 0.0000
O 0.1487 0.2975 0.7500

***

A plane-wave DFT calculation with SCAN was carried out for Y2O3 at its PBEsol-relaxed geometry.

Summary:
E_form (uncorrected): -3.939 eV/atom
E: -18.82 eV per atom
Fermi-level density of states: 0.0000 states/eV per atom

abc: 10.540 10.540 10.540
angles: 90.00 90.00 90.00
Space group Ia-3 (No. 206)
Unique sites:
Y 0.000 0.250 0.467
Y 0.250 0.250 0.250
O 0.109 0.152 0.620

***

A plane-wave DFT calculation with SCAN was carried out for CsCr2PRh at its PBEsol-relaxed geometry.

Summary:
formation energy from the elements: 2.621 eV/atom
E: -21.13 eV per atom
Fermi-level density of states: 0.6457 states/eV per atom

abc: 4.948 4.948 5.143
angles: 90.00 90.00 90.00
Space group P4/mmm (No. 123)
Unique sites:
Cs 0.000 0.000 0.000
Cr 0.000 0.500 0.000
P 0.000 0.000 0.500
Rh 0.500 0.500 0.500

***

Number 1 is which compound?
NiAg2Rh